Computed, not measured: a relaxed structure of Pm3Er2Tm6Th at the PBE level of DFT.

Geometry as POSCAR:
```
Pm3Er2Tm6Th
1.0
6.140 -0.001 0.007
-3.070 5.318 0.007
-1.040 -1.801 11.499
Pm Th Er Tm
3 1 2 6
direct
0.167 0.833 0.500
0.833 0.167 0.500
0.500 0.500 0.500
0.000 0.000 0.000
0.333 0.667 0.000
0.667 0.333 0.000
0.413 0.083 0.247
0.247 0.247 0.753
0.083 0.413 0.247
0.753 0.753 0.247
0.917 0.587 0.753
0.587 0.917 0.753
```

Summary:
D(E_F), states/eV per cell: 15.3
VASP energy, eV per atom: -4.78
Space group: C2/m
DFT formation energy, eV per atom: 0.02

Computed, not measured: a relaxed structure of PmErTmTh at the PBE level of DFT.

Geometry as POSCAR:
```
PmErTmTh
1.0
-1.691 3.130 0.407
-1.551 -3.030 1.111
6.504 0.210 9.653
Er Pm Th Tm
1 1 1 1
direct
0.474 0.135 0.624
0.970 0.383 0.368
0.302 0.549 0.867
0.132 0.964 0.111
```

Summary:
D(E_F), states/eV per cell: 6.2
VASP energy, eV per atom: -5.29
Space group: R3m
DFT formation energy, eV per atom: 0.01
Offset from the most stable computed form, meV/atom: 0.0